# 1
## KMn2Al (PBE)

Data for KMn2Al after structural relaxation.

Calculated values
Its density of states at the Fermi level is 4.508 states/eV per cell. The total DFT energy (no corrections) is -19.4 eV per formula unit.

abc: 5.110 5.110 3.007
angles: 90.00 90.00 90.00
Element x y z (fractional)
1 K 0.000 0.000 0.000
2 Mn 0.000 0.500 0.500
3 Mn 0.500 0.000 0.500
4 Al 0.500 0.500 0.000


# 2
## KMnAl2 (PBE)

Data for KMnAl2 after structural relaxation.

Calculated values
Its density of states at the Fermi level is 2.966 states/eV per cell. The total DFT energy (no corrections) is -16.3 eV per formula unit. The value obtained for the offset from the most stable computed form is 204.1 meV per atom.

abc: 4.782 4.782 7.330
angles: 95.46 95.46 35.03
Element x y z (fractional)
1 K 0.000 0.000 0.000
2 Mn 0.226 0.226 0.629
3 Al 0.498 0.498 0.542
4 Al 0.765 0.765 0.345


# 3
## KMn3Al (PBE)

Data for KMn3Al after structural relaxation.

Calculated values
Its density of states at the Fermi level is 7.411 states/eV per cell. The total DFT energy (no corrections) is -27.4 eV per formula unit. The value obtained for the offset from the most stable computed form is 0.0 meV per atom.

abc: 5.003 5.003 5.003
angles: 90.00 90.00 90.00
Element x y z (fractional)
1 K 0.000 0.000 0.000
2 Mn 0.000 0.500 0.500
3 Mn 0.500 0.000 0.500
4 Mn 0.500 0.500 0.000
5 Al 0.500 0.500 0.500


# 4
## K2MnAl (PBE)

Data for K2MnAl after structural relaxation.

Calculated values
Its density of states at the Fermi level is 3.739 states/eV per cell. The total DFT energy (no corrections) is -11.8 eV per formula unit.

abc: 3.340 3.340 11.529
angles: 90.00 90.00 90.00
Element x y z (fractional)
1 K 0.000 0.000 0.246
2 K 0.000 0.000 0.754
3 Mn 0.500 0.500 0.500
4 Al 0.500 0.500 0.000


# 5
## KMn2Al (PBE)

Data for KMn2Al after structural relaxation.

Calculated values
Its density of states at the Fermi level is 1.914 states/eV per cell. The total DFT energy (no corrections) is -21.6 eV per formula unit.

abc: 3.083 3.083 8.509
angles: 90.00 90.00 90.00
Element x y z (fractional)
1 K 0.000 0.000 0.000
2 Mn 0.000 0.000 0.486
3 Mn 0.500 0.500 0.349
4 Al 0.500 0.500 0.666


# 6
## KMn2Al (PBE)

Data for KMn2Al after structural relaxation.

Calculated values
Its density of states at the Fermi level is 3.461 states/eV per cell. The total DFT energy (no corrections) is -20.1 eV per formula unit.

abc: 6.171 6.171 6.171
angles: 152.43 125.35 62.29
Element x y z (fractional)
1 K 0.000 0.000 0.000
2 Mn 0.294 0.794 0.500
3 Mn 0.706 0.206 0.500
4 Al 0.500 0.500 0.000


# 7
## K2MnAl (PBE)

Data for K2MnAl after structural relaxation.

Calculated values
Its density of states at the Fermi level is 3.002 states/eV per cell. The total DFT energy (no corrections) is -11.9 eV per formula unit.

abc: 6.368 6.368 3.732
angles: 90.00 90.00 121.74
Element x y z (fractional)
1 K 0.000 0.500 0.000
2 K 0.500 0.000 0.000
3 Mn 0.000 0.000 0.500
4 Al 0.500 0.500 0.500


# 8
## K2MnAl (PBE)

Data for K2MnAl after structural relaxation.

Calculated values
Its density of states at the Fermi level is 0.829 states/eV per cell. The total DFT energy (no corrections) is -13.0 eV per formula unit.

abc: 6.526 6.526 6.526
angles: 139.78 123.89 71.27
Element x y z (fractional)
1 K 0.000 0.000 0.000
2 K 0.688 0.188 0.500
3 Mn 0.393 0.393 0.000
4 Al 0.287 0.787 0.500


# 9
## KMnAl4 (PBE)

Data for KMnAl4 after structural relaxation.

Calculated values
Its density of states at the Fermi level is 3.939 states/eV per cell. The total DFT energy (no corrections) is -23.2 eV per formula unit.

abc: 5.557 5.557 5.557
angles: 60.00 60.00 60.00
Element x y z (fractional)
1 K 0.000 0.000 0.000
2 Mn 0.750 0.750 0.750
3 Al 0.375 0.375 0.375
4 Al 0.375 0.375 0.874
5 Al 0.375 0.874 0.375
6 Al 0.874 0.375 0.375


# 10
## KMnAl2 (PBE)

Data for KMnAl2 after structural relaxation.

Calculated values
Its density of states at the Fermi level is 2.751 states/eV per cell. The total DFT energy (no corrections) is -15.1 eV per formula unit. The value obtained for the offset from the most stable computed form is 489.9 meV per atom.

abc: 4.962 4.962 4.962
angles: 60.00 60.00 60.00
Element x y z (fractional)
1 K 0.000 0.000 0.000
2 Mn 0.750 0.750 0.750
3 Al 0.250 0.250 0.250
4 Al 0.500 0.500 0.500


# 11
## KMnAl2 (PBE)

Data for KMnAl2 after structural relaxation.

Calculated values
Its density of states at the Fermi level is 2.712 states/eV per cell. The total DFT energy (no corrections) is -16.5 eV per formula unit. The value obtained for the offset from the most stable computed form is 131.2 meV per atom.

abc: 4.572 4.572 7.526
angles: 94.34 94.34 35.98
Element x y z (fractional)
1 K 0.000 0.000 0.000
2 Mn 0.500 0.500 0.500
3 Al 0.234 0.234 0.653
4 Al 0.766 0.766 0.347


# 12
## K2MnAl (PBE)

Data for K2MnAl after structural relaxation.

Calculated values
Its density of states at the Fermi level is 1.966 states/eV per cell. The total DFT energy (no corrections) is -13.6 eV per formula unit.

abc: 3.344 3.930 10.351
angles: 90.00 90.00 90.00
Element x y z (fractional)
1 K 0.000 0.000 0.000
2 K 0.500 0.500 0.393
3 Mn 0.000 0.000 0.681
4 Al 0.500 0.500 0.718


# 13
## KMn2Al (PBE)

Data for KMn2Al after structural relaxation.

Calculated values
Its density of states at the Fermi level is 3.614 states/eV per cell. The total DFT energy (no corrections) is -19.4 eV per formula unit.

abc: 5.326 2.893 5.703
angles: 90.00 112.11 90.00
Element x y z (fractional)
1 K 0.000 0.000 0.000
2 Mn 0.500 0.000 0.500
3 Mn 0.500 0.500 0.000
4 Al 0.000 0.500 0.500


# 14
## K2MnAl (PBE)

Data for K2MnAl after structural relaxation.

Calculated values
Its density of states at the Fermi level is 2.005 states/eV per cell. The total DFT energy (no corrections) is -13.4 eV per formula unit.

abc: 4.545 4.545 9.562
angles: 103.11 103.11 59.99
Element x y z (fractional)
1 K 0.000 0.000 0.000
2 K 0.172 0.172 0.541
3 Mn 0.419 0.419 0.270
4 Al 0.752 0.752 0.271


# 15
## KMn2Al (PBE)

Data for KMn2Al after structural relaxation.

Calculated values
Its density of states at the Fermi level is 2.670 states/eV per cell. The total DFT energy (no corrections) is -21.1 eV per formula unit.

abc: 3.165 3.165 8.567
angles: 90.00 90.00 90.00
Element x y z (fractional)
1 K 0.000 0.000 0.000
2 Mn 0.500 0.500 0.339
3 Mn 0.500 0.500 0.661
4 Al 0.000 0.000 0.500


# 16
## KMnAl2 (PBE)

Data for KMnAl2 after structural relaxation.

Calculated values
Its density of states at the Fermi level is 2.573 states/eV per cell. The total DFT energy (no corrections) is -15.2 eV per formula unit. The value obtained for the offset from the most stable computed form is 465.5 meV per atom.

abc: 5.804 5.804 2.831
angles: 90.00 90.00 116.06
Element x y z (fractional)
1 K 0.000 0.000 0.000
2 Mn 0.500 0.500 0.000
3 Al 0.000 0.500 0.500
4 Al 0.500 0.000 0.500


# 17
## K2MnAl (PBE)

Data for K2MnAl after structural relaxation.

Calculated values
Its density of states at the Fermi level is 3.621 states/eV per cell. The total DFT energy (no corrections) is -12.0 eV per formula unit.

abc: 4.595 4.595 5.801
angles: 90.00 90.00 90.00
Element x y z (fractional)
1 K 0.000 0.500 0.000
2 K 0.500 0.000 0.000
3 Mn 0.000 0.000 0.500
4 Al 0.500 0.500 0.500


# 18
## KMn2Al (PBE)

Data for KMn2Al after structural relaxation.

Calculated values
Its density of states at the Fermi level is 3.677 states/eV per cell. The total DFT energy (no corrections) is -19.4 eV per formula unit.

abc: 5.864 5.864 2.798
angles: 100.86 100.86 114.33
Element x y z (fractional)
1 K 0.000 0.000 0.000
2 Mn 0.000 0.500 0.500
3 Mn 0.500 0.000 0.500
4 Al 0.500 0.500 0.000


# 19
## KMnAl3 (PBE)

Data for KMnAl3 after structural relaxation.

Calculated values
Its density of states at the Fermi level is 1.660 states/eV per cell. The total DFT energy (no corrections) is -21.0 eV per formula unit. The value obtained for the offset from the most stable computed form is 0.0 meV per atom.

abc: 4.740 4.740 4.740
angles: 90.00 90.00 90.00
Element x y z (fractional)
1 K 0.000 0.000 0.000
2 Mn 0.500 0.500 0.500
3 Al 0.000 0.500 0.500
4 Al 0.500 0.000 0.500
5 Al 0.500 0.500 0.000


# 20
## KMnAl2 (PBE)

Data for KMnAl2 after structural relaxation.

Calculated values
Its density of states at the Fermi level is 3.098 states/eV per cell. The total DFT energy (no corrections) is -14.9 eV per formula unit. The value obtained for the offset from the most stable computed form is 537.6 meV per atom.

abc: 5.442 5.442 2.931
angles: 90.00 90.00 90.00
Element x y z (fractional)
1 K 0.000 0.000 0.000
2 Mn 0.500 0.500 0.000
3 Al 0.000 0.500 0.500
4 Al 0.500 0.000 0.500